Material: Li5La3In6
Method: DFT, PBE-GGA
State: relaxed

POSCAR file:
```
Li5La3In6
1.0
4.949 0.000 0.000
0.000 14.580 0.000
0.000 0.000 9.413
Li La In
10 6 12
Direct
0.250 0.095 0.106 Li
0.250 0.405 0.106 Li
0.250 0.613 0.454 Li
0.250 0.750 0.242 Li
0.250 0.887 0.454 Li
0.750 0.113 0.546 Li
0.750 0.250 0.758 Li
0.750 0.387 0.546 Li
0.750 0.595 0.894 Li
0.750 0.905 0.894 Li
0.250 0.036 0.747 La
0.250 0.464 0.747 La
0.250 0.750 0.755 La
0.750 0.250 0.245 La
0.750 0.536 0.253 La
0.750 0.964 0.253 La
0.250 0.096 0.391 In
0.250 0.250 0.591 In
0.250 0.250 0.927 In
0.250 0.404 0.391 In
0.250 0.603 0.040 In
0.250 0.897 0.040 In
0.750 0.103 0.960 In
0.750 0.397 0.960 In
0.750 0.596 0.609 In
0.750 0.750 0.073 In
0.750 0.750 0.409 In
0.750 0.904 0.609 In
```

* N(E_F): 20.24 states/eV/cell
* spin magnetization: 0.00 μB per formula unit
* formation energy: -0.384 eV per atom
* energy: -3.297 eV/atom



Material: LiLaIn2
Method: DFT, PBE-GGA
State: relaxed

POSCAR file:
```
LiLaIn2
1.0
-1.778 2.432 6.140
1.778 -2.432 6.140
1.778 2.432 -6.140
Li La In
1 1 2
Direct
0.000 0.000 0.000 Li
0.500 0.500 0.000 La
0.209 0.209 0.000 In
0.791 0.791 0.000 In
```

* N(E_F): 3.16 states/eV/cell
* spin magnetization: 0.00 μB per formula unit
* formation energy: -0.003 eV per atom
* energy: -3.083 eV/atom



Material: LiLa4In3
Method: DFT, PBE-GGA
State: relaxed

POSCAR file:
```
LiLa4In3
1.0
2.789 1.610 9.131
-2.789 1.610 9.131
0.000 -3.221 9.131
Li La In
1 4 3
Direct
0.000 0.000 0.000 Li
0.126 0.126 0.126 La
0.377 0.377 0.377 La
0.623 0.623 0.623 La
0.874 0.874 0.874 La
0.255 0.255 0.255 In
0.500 0.500 0.500 In
0.745 0.745 0.745 In
```

* N(E_F): 10.33 states/eV/cell
* spin magnetization: 0.00 μB per formula unit
* formation energy: -0.393 eV per atom
* energy: -4.123 eV/atom



Material: Li3La2In2
Method: DFT, PBE-GGA
State: relaxed

POSCAR file:
```
Li3La2In2
1.0
-4.571 4.571 4.571
4.571 -4.571 4.571
4.571 4.571 -4.571
Li La In
6 4 4
Direct
0.044 0.294 0.750 Li
0.206 0.250 0.456 Li
0.250 0.456 0.206 Li
0.294 0.750 0.044 Li
0.456 0.206 0.250 Li
0.750 0.044 0.294 Li
0.000 0.547 0.500 La
0.500 0.000 0.547 La
0.547 0.500 0.000 La
0.953 0.953 0.953 La
0.000 0.940 0.500 In
0.500 0.000 0.940 In
0.560 0.560 0.560 In
0.940 0.500 0.000 In
```

* N(E_F): 12.49 states/eV/cell
* spin magnetization: 0.00 μB per formula unit
* formation energy: -0.011 eV per atom
* energy: -3.021 eV/atom



Material: LiLaIn3
Method: DFT, PBE-GGA
State: relaxed

POSCAR file:
```
LiLaIn3
1.0
-2.294 2.294 5.948
2.294 -2.294 5.948
2.294 2.294 -5.948
Li La In
1 1 3
Direct
0.000 0.000 0.000 Li
0.381 0.381 0.000 La
0.120 0.620 0.500 In
0.620 0.120 0.500 In
0.785 0.785 0.000 In
```

* N(E_F): 2.16 states/eV/cell
* spin magnetization: 0.00 μB per formula unit
* formation energy: -0.400 eV per atom
* energy: -3.411 eV/atom
* ΔE to the lowest computed polymorph: 0 meV per atom



Material: LiLa5In3
Method: DFT, PBE-GGA
State: relaxed

POSCAR file:
```
LiLa5In3
1.0
9.762 0.000 0.000
-4.881 8.454 0.000
0.000 0.000 6.947
Li La In
2 10 6
Direct
0.000 0.000 0.000 Li
0.000 0.000 0.500 Li
0.000 0.317 0.250 La
0.000 0.683 0.750 La
0.317 0.000 0.250 La
0.317 0.317 0.750 La
0.333 0.667 0.000 La
0.333 0.667 0.500 La
0.667 0.333 0.000 La
0.667 0.333 0.500 La
0.683 0.000 0.750 La
0.683 0.683 0.250 La
0.000 0.343 0.750 In
0.000 0.657 0.250 In
0.343 0.000 0.750 In
0.343 0.343 0.250 In
0.657 0.000 0.250 In
0.657 0.657 0.750 In
```

* N(E_F): 18.35 states/eV/cell
* spin magnetization: 0.00 μB per formula unit
* formation energy: -0.332 eV per atom
* energy: -4.195 eV/atom



Material: LiLa4In2
Method: DFT, PBE-GGA
State: relaxed

POSCAR file:
```
LiLa4In2
1.0
2.759 1.593 8.713
-2.759 1.593 8.713
0.000 -3.186 8.713
Li La In
1 4 2
Direct
0.000 0.000 0.000 Li
0.133 0.133 0.133 La
0.388 0.388 0.388 La
0.612 0.612 0.612 La
0.867 0.867 0.867 La
0.259 0.259 0.259 In
0.741 0.741 0.741 In
```

* N(E_F): 7.94 states/eV/cell
* spin magnetization: 0.00 μB per formula unit
* formation energy: -0.242 eV per atom
* energy: -4.114 eV/atom



Material: LiLaIn2
Method: DFT, PBE-GGA
State: relaxed

POSCAR file:
```
LiLaIn2
1.0
3.383 0.000 0.000
0.000 4.933 0.000
-0.065 0.000 6.345
Li La In
1 1 2
Direct
0.000 0.000 0.000 Li
0.018 0.500 0.604 La
0.511 0.500 0.086 In
0.512 0.000 0.382 In
```

* N(E_F): 2.63 states/eV/cell
* spin magnetization: 0.20 μB per formula unit
* formation energy: -0.325 eV per atom
* energy: -3.404 eV/atom



Material: Li2La3In3
Method: DFT, PBE-GGA
State: relaxed

POSCAR file:
```
Li2La3In3
1.0
2.497 -5.468 0.000
2.497 5.468 0.000
0.000 0.000 16.495
Li La In
4 6 6
Direct
0.210 0.790 0.590 Li
0.210 0.790 0.910 Li
0.790 0.210 0.090 Li
0.790 0.210 0.410 Li
0.099 0.901 0.111 La
0.099 0.901 0.389 La
0.385 0.615 0.250 La
0.615 0.385 0.750 La
0.901 0.099 0.611 La
0.901 0.099 0.889 La
0.316 0.684 0.750 In
0.389 0.611 0.045 In
0.389 0.611 0.455 In
0.611 0.389 0.545 In
0.611 0.389 0.955 In
0.684 0.316 0.250 In
```

* N(E_F): 13.74 states/eV/cell
* spin magnetization: 0.00 μB per formula unit
* formation energy: -0.377 eV per atom
* energy: -3.730 eV/atom



Material: LiLa2In9
Method: DFT, PBE-GGA
State: relaxed

POSCAR file:
```
LiLa2In9
1.0
4.744 0.000 0.000
0.000 4.744 0.000
0.000 0.000 13.922
Li La In
1 2 9
Direct
0.000 0.000 0.000 Li
0.000 0.000 0.324 La
0.000 0.000 0.676 La
0.000 0.500 0.149 In
0.000 0.500 0.500 In
0.000 0.500 0.851 In
0.500 0.000 0.149 In
0.500 0.000 0.500 In
0.500 0.000 0.851 In
0.500 0.500 0.000 In
0.500 0.500 0.336 In
0.500 0.500 0.664 In
```

* N(E_F): 5.31 states/eV/cell
* spin magnetization: 0.00 μB per formula unit
* formation energy: -0.361 eV per atom
* energy: -3.395 eV/atom



Material: Li4La3In2
Method: DFT, PBE-GGA
State: relaxed

POSCAR file:
```
Li4La3In2
1.0
5.060 0.000 0.000
-2.530 4.382 0.000
0.000 0.000 9.676
Li La In
4 3 2
Direct
0.000 0.000 0.178 Li
0.000 0.000 0.822 Li
0.333 0.667 0.401 Li
0.667 0.333 0.599 Li
0.000 0.000 0.500 La
0.333 0.667 0.085 La
0.667 0.333 0.915 La
0.333 0.667 0.712 In
0.667 0.333 0.288 In
```

* N(E_F): 3.97 states/eV/cell
* spin magnetization: 0.00 μB per formula unit
* formation energy: -0.239 eV per atom
* energy: -3.340 eV/atom



Material: Li3LaIn3
Method: DFT, PBE-GGA
State: relaxed

POSCAR file:
```
Li3LaIn3
1.0
7.128 0.000 0.000
0.000 7.128 0.000
0.000 0.000 7.128
Li La In
6 2 6
Direct
0.000 0.250 0.500 Li
0.000 0.750 0.500 Li
0.250 0.500 0.000 Li
0.500 0.000 0.250 Li
0.500 0.000 0.750 Li
0.750 0.500 0.000 Li
0.000 0.000 0.000 La
0.500 0.500 0.500 La
0.000 0.500 0.250 In
0.000 0.500 0.750 In
0.250 0.000 0.500 In
0.500 0.250 0.000 In
0.500 0.750 0.000 In
0.750 0.000 0.500 In
```

* N(E_F): 7.59 states/eV/cell
* spin magnetization: 0.00 μB per formula unit
* formation energy: 0.085 eV per atom
* energy: -2.613 eV/atom
* ΔE to the lowest computed polymorph: 412 meV per atom



Material: LiLaIn4
Method: DFT, PBE-GGA
State: relaxed

POSCAR file:
```
LiLaIn4
1.0
0.000 4.323 4.323
4.323 0.000 4.323
4.323 4.323 0.000
Li La In
1 1 4
Direct
0.000 0.000 0.000 Li
0.250 0.250 0.250 La
0.125 0.625 0.625 In
0.625 0.125 0.625 In
0.625 0.625 0.125 In
0.625 0.625 0.625 In
```

* N(E_F): 4.07 states/eV/cell
* spin magnetization: 0.00 μB per formula unit
* formation energy: -0.222 eV per atom
* energy: -3.188 eV/atom



Material: LiLa2In3
Method: DFT, PBE-GGA
State: relaxed

POSCAR file:
```
LiLa2In3
1.0
3.825 0.000 0.000
0.000 5.029 0.000
0.000 0.000 8.707
Li La In
1 2 3
Direct
0.000 0.000 0.000 Li
0.500 0.000 0.665 La
0.500 0.500 0.178 La
0.000 0.000 0.323 In
0.000 0.500 0.511 In
0.000 0.500 0.852 In
```

* N(E_F): 4.73 states/eV/cell
* spin magnetization: 0.00 μB per formula unit
* formation energy: -0.457 eV per atom
* energy: -3.788 eV/atom
* ΔE to the lowest computed polymorph: 10 meV per atom



Material: LiLa3In2
Method: DFT, PBE-GGA
State: relaxed

POSCAR file:
```
LiLa3In2
1.0
5.571 0.000 0.000
-2.786 4.825 0.000
0.000 0.000 13.637
Li La In
2 6 4
Direct
0.333 0.667 0.170 Li
0.667 0.333 0.830 Li
0.000 0.000 0.251 La
0.000 0.000 0.749 La
0.333 0.667 0.418 La
0.333 0.667 0.919 La
0.667 0.333 0.081 La
0.667 0.333 0.582 La
0.000 0.000 0.000 In
0.000 0.000 0.500 In
0.333 0.667 0.676 In
0.667 0.333 0.324 In
```

* N(E_F): 14.09 states/eV/cell
* spin magnetization: 0.00 μB per formula unit
* formation energy: -0.351 eV per atom
* energy: -4.047 eV/atom



Material: Li2La2In3
Method: DFT, PBE-GGA
State: relaxed

POSCAR file:
```
Li2La2In3
1.0
2.343 -10.354 0.000
2.343 10.354 0.000
0.000 0.000 7.809
Li La In
4 4 6
Direct
0.190 0.810 0.561 Li
0.190 0.810 0.939 Li
0.810 0.190 0.061 Li
0.810 0.190 0.439 Li
0.341 0.659 0.750 La
0.447 0.553 0.250 La
0.553 0.447 0.750 La
0.659 0.341 0.250 La
0.064 0.936 0.064 In
0.064 0.936 0.436 In
0.278 0.722 0.250 In
0.722 0.278 0.750 In
0.936 0.064 0.564 In
0.936 0.064 0.936 In
```

* N(E_F): 18.79 states/eV/cell
* spin magnetization: 0.00 μB per formula unit
* formation energy: -0.362 eV per atom
* energy: -3.491 eV/atom



Material: LiLaIn2
Method: DFT, PBE-GGA
State: relaxed

POSCAR file:
```
LiLaIn2
1.0
1.717 0.991 10.390
-1.717 0.991 10.390
0.000 -1.982 10.390
Li La In
1 1 2
Direct
0.000 0.000 0.000 Li
0.500 0.500 0.500 La
0.259 0.259 0.259 In
0.741 0.741 0.741 In
```

* N(E_F): 3.33 states/eV/cell
* spin magnetization: 0.58 μB per formula unit
* formation energy: -0.176 eV per atom
* energy: -3.256 eV/atom



Material: LiLaIn2
Method: DFT, PBE-GGA
State: relaxed

POSCAR file:
```
LiLaIn2
1.0
2.483 -5.606 0.000
2.483 5.606 0.000
0.000 0.000 7.382
Li La In
2 2 4
Direct
0.199 0.801 0.750 Li
0.801 0.199 0.250 Li
0.099 0.901 0.250 La
0.901 0.099 0.750 La
0.374 0.626 0.051 In
0.374 0.626 0.449 In
0.626 0.374 0.551 In
0.626 0.374 0.949 In
```

* N(E_F): 4.62 states/eV/cell
* spin magnetization: 0.00 μB per formula unit
* formation energy: -0.417 eV per atom
* energy: -3.497 eV/atom



Material: LiLaIn2
Method: DFT, PBE-GGA
State: relaxed

POSCAR file:
```
LiLaIn2
1.0
3.722 0.000 0.000
0.000 3.722 0.000
0.000 0.000 7.566
Li La In
1 1 2
Direct
0.000 0.000 0.000 Li
0.500 0.500 0.691 La
0.000 0.000 0.407 In
0.500 0.500 0.163 In
```

* N(E_F): 3.75 states/eV/cell
* spin magnetization: 0.00 μB per formula unit
* formation energy: -0.208 eV per atom
* energy: -3.287 eV/atom



Material: LiLaIn2
Method: DFT, PBE-GGA
State: relaxed

POSCAR file:
```
LiLaIn2
1.0
3.612 0.000 0.000
0.000 3.612 0.000
0.000 0.000 7.664
Li La In
1 1 2
Direct
0.000 0.000 0.000 Li
0.000 0.000 0.500 La
0.500 0.500 0.200 In
0.500 0.500 0.800 In
```

* N(E_F): 3.14 states/eV/cell
* spin magnetization: 0.00 μB per formula unit
* formation energy: -0.410 eV per atom
* energy: -3.490 eV/atom